Record 1
The following is a DFT calculation (PBE with a Hubbard U) of a relaxed KTiV2O8 crystal.

```
data_KTiV2O8
_chemical_formula_sum 'K1 Ti1 V2 O8'
_symmetry_space_group_name_H-M 'P -3 m 1'
_symmetry_Int_Tables_number 164
_symmetry_space_group_name_Hall '-P 3 2"'
_cell_length_a 5.6195
_cell_length_b 5.6195
_cell_length_c 7.4009
_cell_angle_alpha 90.00
_cell_angle_beta 90.00
_cell_angle_gamma 120.00
loop_
_atom_site_label
_atom_site_type_symbol
_atom_site_fract_x
_atom_site_fract_y
_atom_site_fract_z
_atom_site_occupancy
K1 K 0.0000 0.0000 0.0000 1
Ti1 Ti 0.0000 0.0000 0.5000 1
V1 V 0.3333 0.6667 0.7318 1
O1 O 0.1616 0.3232 0.6556 1
O2 O 0.3333 0.6667 0.9570 1
```

Values from the calculation:
electronic total energy	-88.109	eV per cell



Record 2
The following is a DFT calculation (PBE with a Hubbard U) of a relaxed K2TiVO6 crystal.

```
data_K2TiVO6
_chemical_formula_sum 'K12 Ti6 V6 O36'
_symmetry_space_group_name_H-M 'R -3 m'
_symmetry_Int_Tables_number 166
_symmetry_space_group_name_Hall '-R 3 2"'
_cell_length_a 5.7248
_cell_length_b 5.7248
_cell_length_c 27.8939
_cell_angle_alpha 90.00
_cell_angle_beta 90.00
_cell_angle_gamma 120.00
loop_
_atom_site_label
_atom_site_type_symbol
_atom_site_fract_x
_atom_site_fract_y
_atom_site_fract_z
_atom_site_occupancy
K1 K 0.0000 0.0000 0.1311 1
K2 K 0.0000 0.0000 0.2817 1
Ti1 Ti 0.0000 0.0000 0.4029 1
V1 V 0.0000 0.0000 0.0000 1
V2 V 0.0000 0.0000 0.5000 1
O1 O 0.0106 0.5053 0.7050 1
O2 O 0.0431 0.5215 0.1231 1
```

Values from the calculation:
electronic total energy	-405.198	eV per cell



Record 3
The following is a DFT calculation (PBE with a Hubbard U) of a relaxed KTiVO4 crystal.

```
data_KTiVO4
_chemical_formula_sum 'K2 Ti2 V2 O8'
_symmetry_space_group_name_H-M 'P 1 21/m 1'
_symmetry_Int_Tables_number 11
_cell_length_a 5.4409
_cell_length_b 5.5864
_cell_length_c 7.3057
_cell_angle_alpha 90.00
_cell_angle_beta 103.98
_cell_angle_gamma 90.00
loop_
_symmetry_equiv_pos_as_xyz
'x,y,z'
'-x,-y,-z'
'-x,y+1/2,-z'
'x,-y+1/2,z'
loop_
_atom_site_label
_atom_site_type_symbol
_atom_site_fract_x
_atom_site_fract_y
_atom_site_fract_z
_atom_site_occupancy
K1 K 0.1073 0.2500 0.1203 1
Ti1 Ti 0.3934 0.2500 0.6600 1
V1 V 0.1494 0.7500 0.4579 1
O1 O 0.1495 0.0127 0.6634 1
O2 O 0.2733 0.7500 0.2076 1
O3 O 0.4653 0.2500 0.4338 1
```

Values from the calculation:
electronic total energy	-105.048	eV per cell



Record 4
The following is a DFT calculation (PBE with a Hubbard U) of a relaxed K3TiV2O8 crystal.

```
data_K3TiV2O8
_chemical_formula_sum 'K3 Ti1 V2 O8'
_symmetry_space_group_name_H-M 'P -3 m 1'
_symmetry_Int_Tables_number 164
_symmetry_space_group_name_Hall '-P 3 2"'
_cell_length_a 5.7349
_cell_length_b 5.7349
_cell_length_c 7.5414
_cell_angle_alpha 90.00
_cell_angle_beta 90.00
_cell_angle_gamma 120.00
loop_
_atom_site_label
_atom_site_type_symbol
_atom_site_fract_x
_atom_site_fract_y
_atom_site_fract_z
_atom_site_occupancy
K1 K 0.0000 0.0000 0.0000 1
K2 K 0.3333 0.6667 0.6903 1
Ti1 Ti 0.0000 0.0000 0.5000 1
V1 V 0.3333 0.6667 0.2600 1
O1 O 0.1651 0.3303 0.3450 1
O2 O 0.3333 0.6667 0.0367 1
```

Values from the calculation:
electronic total energy	-96.307	eV per cell